Below is a relaxed structure of Ac2LaSi2, with properties calculated at the GGA-PBE level.

It has space group P4/mbm (No. 127), with a = 8.064 Å, b = 8.064 Å, c = 4.679 Å, α = 90.00°, β = 90.00° and γ = 90.00°. Symmetry generates all atoms from Ac at (0.178, 0.322, 0.000), La at (0.000, 0.000, 0.500) and Si at (0.108, 0.608, 0.500).

The value obtained for the uncorrected formation energy is -0.55 eV per atom. The final energy is -5.346 eV/atom.